(1)
The following is a PBE calculation of a relaxed structure of NaScPd, from the Open Quantum Materials Database.

Cell and atoms, written as extended XYZ:
```
3
Lattice="2.789 -1.424 3.356 1.812 3.039 2.924 -1.417 0.112 4.364" Properties=species:S:1:pos:R:3 pbc="T T T"
Na 1.591 0.864 5.322
Pd 0.796 0.432 2.661
Sc 0.000 0.000 0.000
```

Values from the calculation:
V (Å³/f.u.): 68
Offset from the most stable computed form (kJ/mol of formula units): 0



(2)
The following is a PBE calculation of a relaxed structure of BaThNb, from the Open Quantum Materials Database.

Cell and atoms, written as extended XYZ:
```
3
Lattice="2.652 1.476 4.258 -2.220 -0.366 4.720 1.682 -3.591 3.408" Properties=species:S:1:pos:R:3 pbc="T T T"
Ba 0.528 -0.620 3.096
Nb 0.000 0.000 0.000
Th 1.585 -1.861 9.289
```

Values from the calculation:
V (Å³/f.u.): 101
Offset from the most stable computed form (kJ/mol of formula units): 0



(3)
The following is a PBE calculation of a relaxed structure of Dy2Ho2CI2Br3, from the Open Quantum Materials Database.

Cell and atoms, written as extended XYZ:
```
10
Lattice="9.183 -1.930 0.000 9.183 1.930 0.000 -1.694 0.000 8.019" Properties=species:S:1:pos:R:3 pbc="T T T"
Br 15.033 0.000 1.391
Br 8.336 0.000 4.010
Br 1.638 0.000 6.628
C 9.183 0.000 0.000
Dy 11.523 0.000 0.509
Dy 5.149 0.000 7.511
Ho 18.000 0.000 1.587
Ho -1.328 0.000 6.433
I 2.446 0.000 2.835
I 14.226 0.000 5.184
```

Values from the calculation:
V (Å³/f.u.): 284
Offset from the most stable computed form (kJ/mol of formula units): 13



Question: The highest V belongs to which entry?
Answer: Dy2Ho2CI2Br3



Question: What is the formula in the first record?
Answer: NaScPd